# 1
{"formula": "ReHgOs2", "functional": "PBE", "state": "optimized geometry", "magnetic_moment_mub_per_fu": 0.00, "sg": "P4/mmm", "e_tot_ev_per_atom": -8.3501, "lattice_angstrom": [[-2.074, -1.615, 1.043], [1.886, -2.009, 0.640], [1.065, 3.304, 7.231]], "species": ["Hg", "Os", "Re", "Os"], "fractional_positions": [[0.500, 0.500, 0.750], [0.000, 0.000, 0.473], [0.500, 0.500, 0.250], [0.000, 0.000, 0.027]]}

***

# 2
{"formula": "ReHgOs2", "functional": "PBE", "state": "optimized geometry", "magnetic_moment_mub_per_fu": 0.00, "sg": "Cmmm", "e_tot_ev_per_atom": -8.0785, "lattice_angstrom": [[2.772, -0.006, 0.000], [-1.325, 2.435, 0.000], [0.000, 0.000, 9.745]], "species": ["Hg", "Re", "Os", "Os"], "fractional_positions": [[0.500, 0.500, 0.750], [0.500, 0.500, 0.250], [0.000, 0.000, 0.022], [0.000, 0.000, 0.478]]}

***

# 3
{"formula": "ReHgOs2", "functional": "PBE", "state": "optimized geometry", "magnetic_moment_mub_per_fu": 0.00, "sg": "I-42d", "e_tot_ev_per_atom": -7.6902, "lattice_angstrom": [[7.374, 0.000, 0.000], [0.000, 7.374, 0.000], [3.687, 3.687, 2.703]], "species": ["Hg", "Os", "Os", "Hg", "Re", "Re", "Os", "Os"], "fractional_positions": [[0.000, 0.000, 0.000], [0.375, 0.429, 0.750], [0.179, 0.625, 0.250], [0.750, 0.250, 0.500], [0.250, 0.750, 0.500], [0.500, 0.500, 0.000], [0.875, 0.821, 0.750], [0.571, 0.125, 0.250]]}

***

# 4
{"formula": "ReHgOs2", "functional": "PBE", "state": "optimized geometry", "magnetic_moment_mub_per_fu": 0.00, "sg": "Pmmm", "e_tot_ev_per_atom": -8.2060, "lattice_angstrom": [[-3.768, -0.753, -0.374], [0.536, -1.552, -2.271], [1.157, -6.359, 1.156]], "species": ["Os", "Re", "Os", "Hg"], "fractional_positions": [[0.000, 0.969, 0.031], [0.500, 0.250, 0.250], [0.000, 0.531, 0.469], [0.500, 0.750, 0.750]]}

***

# 5
{"formula": "ReHgOs2", "functional": "PBE", "state": "optimized geometry", "magnetic_moment_mub_per_fu": 0.00, "sg": "P4/mmm", "e_tot_ev_per_atom": -7.8108, "lattice_angstrom": [[-2.276, -3.137, -0.359], [1.796, -1.669, 3.198], [-2.731, 1.705, 2.424]], "species": ["Re", "Hg", "Os", "Os"], "fractional_positions": [[0.500, 0.500, 0.000], [0.500, 0.000, 0.500], [0.000, 0.000, 0.000], [0.000, 0.500, 0.500]]}

***

# 6
{"formula": "ReHgOs2", "functional": "PBE", "state": "optimized geometry", "magnetic_moment_mub_per_fu": 0.25, "sg": "Cmm2", "e_tot_ev_per_atom": -8.0074, "lattice_angstrom": [[-1.984, 1.891, -0.450], [1.072, -1.375, -2.162], [-6.783, -6.879, 1.009]], "species": ["Os", "Os", "Hg", "Re"], "fractional_positions": [[0.500, 0.500, 0.251], [0.000, 0.000, 0.019], [0.500, 0.500, 0.752], [0.000, 0.000, 0.479]]}

***

# 7
{"formula": "ReHgOs2", "functional": "PBE", "state": "optimized geometry", "magnetic_moment_mub_per_fu": 0.24, "sg": "P4/mmm", "e_tot_ev_per_atom": -7.7757, "lattice_angstrom": [[-4.127, 0.696, 2.110], [0.666, -3.858, 2.576], [1.322, 1.601, 2.057]], "species": ["Re", "Os", "Hg", "Os"], "fractional_positions": [[0.500, 0.000, 0.500], [0.500, 0.500, 0.000], [0.000, 0.500, 0.500], [0.000, 0.000, 0.000]]}

***

# 8
{"formula": "ReHgOs3", "functional": "PBE", "state": "optimized geometry", "polymorph_energy_mev_per_atom": 1553.1, "magnetic_moment_mub_per_fu": 0.00, "sg": "Pm-3m", "lattice_angstrom": [[-2.665, 2.080, -3.335], [2.965, -1.581, -3.356], [-2.580, -3.966, -0.411]], "species": ["Os", "Re", "Os", "Hg", "Os"], "fractional_positions": [[0.500, 0.000, 0.000], [0.500, 0.500, 0.500], [0.000, 0.000, 0.500], [0.000, 0.000, 0.000], [0.000, 0.500, 0.000]]}

***

# 9
{"formula": "ReHg2Os", "functional": "PBE", "state": "optimized geometry", "polymorph_energy_mev_per_atom": 579.5, "magnetic_moment_mub_per_fu": 0.00, "sg": "P2/m", "lattice_angstrom": [[-1.706, -2.299, 0.666], [3.289, -1.443, 3.446], [-0.050, 1.647, 5.554]], "species": ["Re", "Hg", "Os", "Hg"], "fractional_positions": [[0.000, 0.000, 0.500], [0.500, 0.500, 0.000], [0.500, 0.500, 0.500], [0.000, 0.000, 0.000]]}

***

# 10
{"formula": "ReHgOs2", "functional": "PBE", "state": "optimized geometry", "magnetic_moment_mub_per_fu": 0.00, "sg": "P4mm", "e_tot_ev_per_atom": -8.2612, "lattice_angstrom": [[-0.829, -2.528, 0.848], [0.644, -1.052, -2.505], [7.633, -1.615, 2.642]], "species": ["Hg", "Re", "Os", "Os"], "fractional_positions": [[0.500, 0.500, 0.753], [0.000, 0.000, 0.476], [0.500, 0.500, 0.245], [0.000, 0.000, 0.026]]}

***

# 11
{"formula": "ReHg2Os", "functional": "PBE", "state": "optimized geometry", "polymorph_energy_mev_per_atom": 40.4, "magnetic_moment_mub_per_fu": 0.00, "sg": "R3m", "lattice_angstrom": [[-7.625, 5.556, -4.980], [-8.821, 5.511, -2.374], [-6.908, 7.541, -3.039]], "species": ["Hg", "Hg", "Re", "Os"], "fractional_positions": [[0.760, 0.760, 0.760], [0.990, 0.990, 0.990], [0.240, 0.240, 0.240], [0.510, 0.510, 0.510]]}

***

# 12
{"formula": "ReHg2Os", "functional": "PBE", "state": "optimized geometry", "polymorph_energy_mev_per_atom": 804.5, "magnetic_moment_mub_per_fu": 0.00, "sg": "Pmmm", "lattice_angstrom": [[2.926, 0.000, 0.000], [0.000, 4.425, 0.000], [0.000, 0.000, 5.448]], "species": ["Re", "Hg", "Os", "Hg"], "fractional_positions": [[0.500, 0.500, 0.750], [0.000, 0.000, 0.000], [0.500, 0.500, 0.250], [0.000, 0.000, 0.500]]}